Record 1
GGA-PBE LiNpIn2O6, relaxed; DFT total energy = -7.020 eV per atom
1.0
2.780 1.605 4.983
-2.780 1.605 4.983
0.000 -3.210 4.983
Li Np In O
1 1 2 6
Direct
0.000 0.000 0.000
0.484 0.484 0.484
0.278 0.278 0.278
0.784 0.784 0.784
0.093 0.683 0.391
0.198 0.578 0.880
0.391 0.093 0.683
0.578 0.880 0.198
0.683 0.391 0.093
0.880 0.198 0.578

---

Record 2
GGA-PBE ScNiOs2, relaxed; calculated formation energy = -17 kJ/mol of formula units; relative energy among the computed polymorphs = 42 meV per atom; DFT total energy = -8.687 eV per atom
1.0
3.793 0.000 0.000
0.000 3.793 0.000
0.000 0.000 4.074
Sc Ni Os
1 1 2
Direct
0.000 0.000 0.000
0.500 0.500 0.000
0.000 0.500 0.500
0.500 0.000 0.500

---

Record 3
GGA-PBE Na4AgBr5, relaxed; DFT total energy = -2.955 eV per atom
1.0
2.125 1.227 17.193
-2.125 1.227 17.193
0.000 -2.454 17.193
Na Ag Br
4 1 5
Direct
0.101 0.101 0.101
0.300 0.300 0.300
0.700 0.700 0.700
0.899 0.899 0.899
0.500 0.500 0.500
0.000 0.000 0.000
0.198 0.198 0.198
0.401 0.401 0.401
0.599 0.599 0.599
0.802 0.802 0.802

---

Record 4
GGA-PBE Sb2H2Au, relaxed; relative energy among the computed polymorphs = 128 meV per atom; DFT total energy = -3.453 eV per atom
1.0
7.154 0.000 0.000
0.000 7.154 0.000
0.000 0.000 3.999
Sb H Au
4 4 2
Direct
0.145 0.355 0.000
0.355 0.855 0.000
0.645 0.145 0.000
0.855 0.645 0.000
0.137 0.363 0.500
0.363 0.863 0.500
0.637 0.137 0.500
0.863 0.637 0.500
0.000 0.000 0.000
0.500 0.500 0.000

---

Record 5
GGA-PBE SmDy3As4, relaxed; calculated formation energy = -1183 kJ/mol of formula units; DFT total energy = -6.173 eV per atom
1.0
4.142 -5.858 0.000
4.142 5.858 0.000
0.000 0.000 4.145
Sm Dy As
1 3 4
Direct
0.000 0.000 0.000
0.000 0.500 0.500
0.500 0.000 0.500
0.500 0.500 0.000
0.252 0.748 0.000
0.254 0.254 0.500
0.746 0.746 0.500
0.748 0.252 0.000

---

Record 6
GGA-PBE Ce2SeF2, relaxed; DFT total energy = -6.453 eV per atom
1.0
1.946 1.124 8.537
-1.946 1.124 8.537
0.000 -2.247 8.537
Ce Se F
2 1 2
Direct
0.096 0.096 0.096
0.904 0.904 0.904
0.500 0.500 0.500
0.282 0.282 0.282
0.718 0.718 0.718

---

Record 7
GGA-PBE Al2TlAg2, relaxed; calculated formation energy = 36 kJ/mol of formula units; relative energy among the computed polymorphs = 8 meV per atom; DFT total energy = -3.037 eV per atom
1.0
8.392 0.000 0.000
0.000 8.392 0.000
0.000 0.000 2.849
Al Tl Ag
4 2 4
Direct
0.125 0.375 0.000
0.375 0.875 0.000
0.625 0.125 0.000
0.875 0.625 0.000
0.000 0.000 0.500
0.500 0.500 0.500
0.169 0.669 0.500
0.331 0.169 0.500
0.669 0.831 0.500
0.831 0.331 0.500

---

Record 8
GGA-PBE Pm2Nd3Os2, relaxed; calculated formation energy = -64 kJ/mol of formula units; DFT total energy = -6.704 eV per atom
1.0
6.190 -2.020 0.000
6.190 2.020 0.000
-3.304 0.000 7.970
Pm Nd Os
2 3 2
Direct
0.168 0.168 0.314
0.832 0.832 0.686
0.377 0.377 0.073
0.500 0.500 0.500
0.623 0.623 0.927
0.181 0.181 0.719
0.819 0.819 0.281

---

Record 9
GGA-PBE Tm7Ga5Au, relaxed; calculated formation energy = -494 kJ/mol of formula units; DFT total energy = -4.218 eV per atom
1.0
-3.068 4.901 5.082
3.068 -4.901 5.082
3.068 4.901 -5.082
Tm Ga Au
7 5 1
Direct
0.000 0.000 0.000
0.307 0.614 0.693
0.386 0.386 0.000
0.425 0.094 0.331
0.763 0.094 0.669
0.849 0.349 0.500
0.921 0.614 0.307
0.099 0.093 0.476
0.099 0.623 0.007
0.347 0.847 0.500
0.617 0.093 0.993
0.617 0.623 0.524
0.687 0.687 0.000

---

Record 10
GGA-PBE SrGa3O, relaxed; relative energy among the computed polymorphs = 0 meV per atom; DFT total energy = -3.486 eV per atom
1.0
4.729 0.000 0.000
0.000 4.729 0.000
0.000 0.000 4.729
Sr Ga O
1 3 1
Direct
0.000 0.000 0.000
0.000 0.500 0.500
0.500 0.000 0.500
0.500 0.500 0.000
0.500 0.500 0.500

---

Record 11
GGA-PBE Nd2HoEr8, relaxed; calculated formation energy = 185 kJ/mol of formula units; relative energy among the computed polymorphs = 14 meV per atom; DFT total energy = -4.427 eV per atom
1.0
8.220 -3.291 0.000
8.220 3.291 0.000
-1.180 0.000 6.528
Nd Ho Er
2 1 8
Direct
0.245 0.245 0.311
0.755 0.755 0.689
0.000 0.000 0.000
0.175 0.653 0.600
0.199 0.199 0.802
0.347 0.825 0.400
0.411 0.411 0.094
0.589 0.589 0.906
0.653 0.175 0.600
0.801 0.801 0.198
0.825 0.347 0.400

---

Record 12
GGA-PBE Tc2Mo, relaxed; calculated formation energy = 38 kJ/mol of formula units; relative energy among the computed polymorphs = 22 meV per atom; DFT total energy = -10.389 eV per atom
1.0
5.096 -1.396 0.000
5.096 1.396 0.000
-1.823 0.000 6.355
Tc Mo
4 2
Direct
0.000 0.000 0.000
0.052 0.052 0.613
0.397 0.397 0.271
0.718 0.718 0.949
0.334 0.334 0.677
0.670 0.670 0.329